The following is a PBE calculation of a geometry-optimized HOsCl2 structure, from Alexandria. Values from VASP.

Quantum ESPRESSO input file:
```
&SYSTEM
  ibrav = 0, nat = 8, ntyp = 3
/
ATOMIC_SPECIES
H 1.01 H.upf
Os 190.23 Os.upf
Cl 35.45 Cl.upf
CELL_PARAMETERS angstrom
-2.512 2.512 4.699
2.512 -2.512 4.699
2.512 2.512 -4.699
ATOMIC_POSITIONS crystal
H 0.000 0.000 0.000
H 0.750 0.250 0.500
Os 0.250 0.750 0.500
Os 0.500 0.500 0.000
Cl 0.070 0.625 0.945
Cl 0.375 0.320 0.445
Cl 0.680 0.125 0.055
Cl 0.875 0.930 0.555
```

Space group: I-42d
N(E_F), states/eV/cell: 1.77
Energy, eV/atom: -3.688